No. 1
Material: NaLa2Er
Method: DFT, GGA-PBE
State: relaxed

The structure in POSCAR format:
```
NaLa2Er
1.0
3.5932 0.0000 0.0000
1.7966 3.1118 0.0000
1.7966 1.0373 13.0466
Er Na La
1 1 2
Cartesian
3.5932 2.0745 6.5233
0.0000 0.0000 0.0000
5.3898 3.1118 3.6275
1.7966 1.0373 9.4190
```

Calculated values
Offset from the most stable computed form = 21 meV/atom
Formation energy = 122 meV/atom
Total moment = 0.0001 μB/atom
Calculated density = 5.33 g/cm³

No. 2
Material: Na2LaErO4
Method: DFT, GGA-PBE
State: relaxed

The structure in POSCAR format:
```
Na2LaErO4
1.0
-3.1448 -1.1198 -1.1295
-0.8774 -2.9120 5.3298
-2.1016 5.5750 0.3244
O La Na Er
4 1 2 1
Cartesian
-1.1113 -1.0087 4.0942
-2.2140 -0.0357 0.7020
-1.8676 3.6717 1.5599
-3.9098 1.5789 3.8226
-2.0111 -2.0159 2.1001
-1.4895 1.3315 2.8271
-2.6232 2.2276 -0.4026
0.0000 0.0000 0.0000
```

Calculated values
Total moment = 0.0000 μB/atom
E_form (uncorrected) = -2.722 eV/atom
Calculated density = 5.71 g/cm³

No. 3
Material: NaLaPrEr
Method: DFT, GGA-PBE
State: relaxed

The structure in POSCAR format:
```
NaLaPrEr
1.0
-1.3372 5.5965 -0.6757
-3.2903 1.6735 -4.4653
-5.4252 1.8134 0.9187
Na La Pr Er
1 1 1 1
Cartesian
-7.5395 6.8126 -3.1667
0.0000 0.0000 0.0000
-5.0263 4.5417 -2.1111
-2.5132 2.2709 -1.0556
```

Calculated values
Formation energy = 245 meV/atom
Total moment = 0.0000 μB/atom
Calculated density = 5.68 g/cm³

No. 4
Material: NaLaEr4S8
Method: DFT, GGA-PBE
State: relaxed

The structure in POSCAR format:
```
NaLaEr4S8
1.0
8.0414 0.0000 0.0000
4.0207 6.9641 0.0000
4.0207 2.3214 6.7770
Er S La Na
4 8 1 1
Cartesian
5.9575 1.2031 3.4156
8.0414 4.6427 0.8219
4.0207 4.5578 3.4156
2.0839 1.2031 3.4156
5.8865 3.3986 4.9066
12.0621 6.9641 4.9225
5.9583 5.8454 1.8298
8.0414 2.2373 1.8298
10.1245 5.8454 1.8298
8.0414 7.1309 4.9066
10.1963 3.3986 4.9066
4.0207 2.3213 1.9404
4.0207 2.3213 6.7080
8.0414 4.6427 5.9788
```

Calculated values
Total moment = 0.0000 μB/atom
E_form (uncorrected) = -1.960 eV/atom
Calculated density = 4.76 g/cm³

No. 5
Material: NaLa2ErS4
Method: DFT, GGA-PBE
State: relaxed

The structure in POSCAR format:
```
NaLa2ErS4
1.0
4.0547 0.0000 0.0000
0.0000 7.0550 0.1845
0.0000 -2.4946 6.5361
Er La S Na
1 2 4 1
Cartesian
0.0000 0.0000 0.0000
2.0273 -1.2473 3.2680
0.0000 2.2802 3.3603
2.0273 1.1050 1.5541
0.0000 4.7313 1.6985
2.0273 3.4554 5.1665
0.0000 -0.1709 5.0222
2.0273 3.5275 0.0923
```

Calculated values
Total moment = 0.0000 μB/atom
E_form (uncorrected) = -1.950 eV/atom
Calculated density = 5.24 g/cm³

No. 6
Material: Na3LaEr2S6
Method: DFT, GGA-PBE
State: relaxed

The structure in POSCAR format:
```
Na3LaEr2S6
1.0
-6.3258 -0.1829 3.0027
4.1734 -5.6188 0.2770
3.3632 4.1838 4.6109
S Er Na La
6 2 3 1
Cartesian
2.8087 -2.0638 5.5522
2.0500 -1.4428 1.3913
-0.8392 -0.1751 6.4993
-0.7993 -3.2710 3.4443
2.0101 1.6530 4.4462
-1.5979 0.4458 2.3383
-2.8279 -1.9939 2.0946
0.6755 -3.8078 1.1851
-2.8949 1.0032 4.8540
0.6054 -0.8090 3.9453
4.1056 -2.6212 3.0366
0.0000 0.0000 0.0000
```

Calculated values
Total moment = 0.0000 μB/atom
E_form (uncorrected) = -1.847 eV/atom
Calculated density = 4.30 g/cm³

No. 7
Material: NaLaErSe3
Method: DFT, GGA-PBE
State: relaxed

The structure in POSCAR format:
```
NaLaErSe3
1.0
4.1801 0.0000 0.0000
0.0000 8.3476 0.3513
0.0000 -2.8812 8.7915
La Se Na Er
2 6 2 2
Cartesian
1.0450 1.0697 2.0982
3.1351 4.3967 7.0446
3.1351 3.2329 1.6078
3.1351 0.7536 4.4953
3.1351 7.1950 1.3953
1.0450 2.2335 7.5350
1.0450 4.7128 4.6474
1.0450 -1.7286 7.7474
1.0450 -0.8794 5.1690
3.1351 6.3458 3.9738
1.0450 5.1551 1.5857
3.1351 0.3114 7.5571
```

Calculated values
Total moment = 0.0002 μB/atom
E_form (uncorrected) = -1.568 eV/atom
Calculated density = 6.04 g/cm³

No. 8
Material: NaLaErSn
Method: DFT, GGA-PBE
State: relaxed

The structure in POSCAR format:
```
NaLaErSn
1.0
-3.8564 3.6776 1.1386
-5.0561 -1.6374 1.2033
-1.8826 0.4869 5.0904
Sn Er La Na
1 1 1 1
Cartesian
-5.3975 1.2636 3.7161
-8.0963 1.8954 5.5742
-2.6988 0.6318 1.8581
0.0000 0.0000 0.0000
```

Calculated values
Formation energy = -286 meV/atom
Total moment = 0.0014 μB/atom
Calculated density = 6.50 g/cm³

No. 9
Material: Na3La2ErTe6
Method: DFT, GGA-PBE
State: relaxed

The structure in POSCAR format:
```
Na3La2ErTe6
1.0
-1.2658 -1.1038 7.7284
3.4431 -5.6773 -4.2967
6.0344 5.2097 0.3815
La Na Er Te
2 3 1 6
Cartesian
1.8716 -4.1509 -0.2835
0.3057 -2.6301 3.7152
5.6630 -2.2981 -2.0701
4.1058 -0.7857 1.9066
2.5486 0.7268 5.8833
0.0000 0.0000 0.0000
2.7111 -1.1194 -1.0160
5.5006 -0.4520 4.8292
1.2006 0.3477 2.8413
7.0110 -1.9190 0.9719
3.0823 -3.9127 2.6951
5.1294 2.3413 1.1181
```

Calculated values
Total moment = 0.0000 μB/atom
E_form (uncorrected) = -1.368 eV/atom
Calculated density = 5.21 g/cm³

No. 10
Material: NaLa3Er3Te8
Method: DFT, GGA-PBE
State: relaxed

The structure in POSCAR format:
```
NaLa3Er3Te8
1.0
8.8646 0.0000 0.0000
-4.4323 7.6776 -0.0273
0.0000 -5.0926 7.2976
Te Er La Na
8 3 3 1
Cartesian
2.3153 -1.2143 1.8729
0.0000 2.5639 1.9435
6.5493 -1.2143 1.8729
0.0000 0.1364 5.4079
-2.1170 3.7993 5.3974
4.4323 0.0210 5.3268
2.1170 3.7993 5.3974
4.4323 2.4485 1.8624
-2.2162 1.2925 3.6351
4.4323 -2.5463 3.6488
2.2162 1.2925 3.6351
0.0000 0.0000 0.0000
-2.2162 3.8388 -0.0136
2.2162 3.8388 -0.0136
0.0000 -2.5463 3.6488
```

Calculated values
Total moment = 0.0000 μB/atom
E_form (uncorrected) = -1.409 eV/atom
Calculated density = 6.58 g/cm³

No. 11
Material: NaLaEr2Te4
Method: DFT, GGA-PBE
State: relaxed

The structure in POSCAR format:
```
NaLaEr2Te4
1.0
4.3872 0.0000 0.0000
0.0000 7.6640 0.1891
0.0000 -2.6933 7.3160
Er Te La Na
2 4 1 1
Cartesian
2.1936 -1.3467 3.6580
0.0000 2.4853 3.7525
2.1936 1.2178 1.9834
0.0000 -0.1385 5.4193
2.1936 3.7529 5.5216
0.0000 5.1092 2.0858
2.1936 3.8320 0.0945
0.0000 0.0000 0.0000
```

Calculated values
Total moment = 0.0000 μB/atom
E_form (uncorrected) = -1.354 eV/atom
Calculated density = 6.74 g/cm³

No. 12
Material: Na3LaEr2Te6
Method: DFT, GGA-PBE
State: relaxed

The structure in POSCAR format:
```
Na3LaEr2Te6
1.0
7.7636 -0.0024 -0.0021
-3.8819 6.7234 -0.0021
-1.2966 -2.2451 7.5535
Na Te Er La
3 6 2 1
Cartesian
5.2163 -0.0282 3.7746
1.2925 2.2380 3.7746
-2.6312 4.5041 3.7746
-1.3434 2.3293 1.7638
-0.1039 4.4754 5.7855
2.5362 4.3914 1.7602
2.6889 0.0005 1.7638
3.9284 2.1466 5.7855
0.0488 0.0845 5.7891
-0.0075 4.4858 -0.0021
3.8892 2.2353 -0.0021
0.0000 0.0000 0.0000
```

Calculated values
Total moment = 0.0000 μB/atom
E_form (uncorrected) = -1.334 eV/atom
Calculated density = 5.51 g/cm³

No. 13
Material: Na2La3ErTe6
Method: DFT, GGA-PBE
State: relaxed

The structure in POSCAR format:
```
Na2La3ErTe6
1.0
-7.3240 2.8368 0.4489
1.1808 -7.5042 -2.0449
1.7044 -0.4316 7.6023
Er Te Na La
1 6 2 3
Cartesian
0.0000 0.0000 0.0000
-4.2399 -3.6435 0.6489
-4.7415 -2.1883 4.9922
-2.4618 0.4505 1.8247
0.3027 -2.9108 1.0141
-1.9770 -5.5496 4.1816
-0.1989 -1.4556 5.3574
-4.4739 -0.6286 -0.3868
-1.6692 -4.0389 -1.2092
-2.2194 -2.5495 3.0031
0.5754 -5.9477 2.1836
-5.0141 0.8486 3.8226
```

Calculated values
Total moment = 0.0005 μB/atom
E_form (uncorrected) = -1.410 eV/atom
Calculated density = 5.87 g/cm³

No. 14
Material: NaLaErTl
Method: DFT, GGA-PBE
State: relaxed

The structure in POSCAR format:
```
NaLaErTl
1.0
-4.2086 -1.4713 -3.2687
-4.1680 -3.0026 2.0431
-4.9787 2.2986 0.7007
La Er Tl Na
1 1 1 1
Cartesian
-10.0165 -1.6315 -0.3937
-3.3388 -0.5438 -0.1312
-6.6777 -1.0877 -0.2625
0.0000 0.0000 0.0000
```

Calculated values
Formation energy = -74 meV/atom
Total moment = 0.0006 μB/atom
Calculated density = 7.42 g/cm³

No. 15
Material: LaErNbO6
Method: DFT, GGA-PBE
State: relaxed

The structure in POSCAR format:
```
LaErNbO6
1.0
5.6376 0.0001 -0.0001
2.8189 4.8823 0.0002
0.0001 -0.0002 5.0201
La O Nb Er
1 6 1 1
Cartesian
5.6375 -0.0001 5.0199
1.9370 3.0745 3.6168
2.0063 0.1402 3.6166
1.1246 1.6674 1.4034
3.7005 3.0746 1.4034
4.5129 1.6674 3.6167
3.6311 0.1401 1.4032
2.8190 1.6274 2.5100
5.6376 3.2548 2.5101
```

Calculated values
Total moment = 0.1175 μB/atom
E_form (uncorrected) = -2.880 eV/atom
Calculated density = 5.95 g/cm³

No. 16
Material: La3Nd8Er2
Method: DFT, GGA-PBE
State: relaxed

The structure in POSCAR format:
```
La3Nd8Er2
1.0
5.8102 0.0000 0.5177
0.0000 7.7819 0.0000
-0.9173 -3.8910 10.2923
Nd La Er
8 3 2
Cartesian
5.1427 3.8910 8.0067
-0.5926 0.0000 6.6501
5.4856 3.8910 4.1598
-0.2498 0.0000 2.8032
2.7045 5.5137 2.5127
2.1884 -1.6228 8.2972
2.7045 2.2682 2.5127
2.1884 1.6228 8.2972
0.0000 2.2757 0.0000
2.9051 0.0000 0.2588
0.0000 5.5062 0.0000
2.4633 0.0000 5.2243
2.4297 3.8910 5.5857
```

Calculated values
Offset from the most stable computed form = 72 meV/atom
Formation energy = 214 meV/atom
Total moment = 0.0000 μB/atom
Calculated density = 6.74 g/cm³

No. 17
Material: LaNd5Er5
Method: DFT, GGA-PBE
State: relaxed

The structure in POSCAR format:
```
LaNd5Er5
1.0
-5.2205 1.8915 2.6074
3.0308 -4.7964 2.3319
6.1669 7.3186 7.0381
Er Nd La
5 5 1
Cartesian
-0.7668 4.4401 6.0806
0.7541 2.0333 7.2508
1.8529 3.4910 4.7723
1.6419 1.9486 1.8739
4.5249 5.3700 5.1642
2.7311 5.8347 8.4514
-1.5043 0.8083 3.6177
2.2615 -0.2160 4.6847
0.0000 0.0000 0.0000
4.4662 2.4004 7.2008
0.2804 -2.5671 2.4237
```

Calculated values
Formation energy = 279 meV/atom
Total moment = 0.0032 μB/atom
Calculated density = 7.28 g/cm³

No. 18
Material: La3Nd5Er2
Method: DFT, GGA-PBE
State: relaxed

The structure in POSCAR format:
```
La3Nd5Er2
1.0
-9.0519 2.1891 4.0470
-7.2969 1.4247 -6.8276
6.5173 -9.1145 1.6366
La Nd Er
6 10 4
Cartesian
-4.2935 -1.0895 -4.8319
-1.4834 -5.4987 -1.2935
-5.5380 -4.4113 3.6879
-6.8671 1.2970 3.0469
-8.3482 -0.0021 0.1495
-2.9644 -6.7978 -4.1909
-5.9812 0.9520 -2.3917
-3.1728 -3.4649 1.1470
-3.8503 -6.4528 1.2477
0.4269 -5.7546 1.9129
-7.5574 -1.7471 3.1495
-10.2584 0.2538 -3.0569
-2.4131 -1.4769 -1.6211
-2.2742 -3.7537 -4.2935
-6.6587 -2.0359 -2.2910
-7.4185 -4.0239 0.4771
-5.1642 -0.7576 0.6972
-2.3317 -5.0681 4.2323
-4.6673 -4.7432 -1.8413
-7.4998 -0.4327 -5.3763
```

Calculated values
Formation energy = 163 meV/atom
Total moment = 0.0000 μB/atom
Calculated density = 6.96 g/cm³

No. 19
Material: LaNd2Er2
Method: DFT, GGA-PBE
State: relaxed

The structure in POSCAR format:
```
LaNd2Er2
1.0
-9.0266 -9.4551 -0.3135
5.3607 -3.0485 1.2482
2.7267 8.4307 3.7174
Er Nd La
4 4 2
Cartesian
-2.9521 -4.8614 0.7413
2.0129 0.7885 3.9108
0.1673 -5.1401 2.5489
-1.1065 1.0672 2.1032
6.0596 3.8205 4.5833
-6.9988 -7.8934 0.0688
2.9324 4.0919 2.7782
-3.8717 -8.1648 1.8740
1.1197 -1.7649 1.5000
-2.0589 -2.3081 3.1522
```

Calculated values
Offset from the most stable computed form = 0 meV/atom
Formation energy = 22 meV/atom
Total moment = 0.0000 μB/atom
Calculated density = 7.51 g/cm³

No. 20
Material: La12Nd5Er2
Method: DFT, GGA-PBE
State: relaxed

The structure in POSCAR format:
```
La12Nd5Er2
1.0
-5.5326 1.3382 2.8403
1.6235 -4.6046 9.8064
3.3388 7.0670 7.6676
Nd La Er
5 12 2
Cartesian
-2.7663 0.6691 1.4201
2.5596 1.8672 12.2843
-3.1300 1.9334 8.0299
-1.3680 1.1140 5.0001
0.7977 2.6866 15.3141
-1.0468 4.6879 8.1574
-1.8941 -1.0668 9.2209
-1.3993 -0.0504 14.9342
-1.2918 2.3411 11.7519
4.3644 2.1788 15.4495
-0.0060 -1.8215 6.4163
0.8290 3.8509 5.3800
-4.9347 1.6217 4.8647
0.4765 -0.8873 12.1568
1.3237 4.8674 11.0934
0.7215 1.4595 8.5623
-0.5643 5.6220 13.8979
-2.5871 5.6791 11.0059
2.0168 -1.8786 9.3084
```

Calculated values
Offset from the most stable computed form = 0 meV/atom
Formation energy = 83 meV/atom
Total moment = 0.0000 μB/atom
Calculated density = 6.63 g/cm³

No. 21
Material: La6NdEr2
Method: DFT, GGA-PBE
State: relaxed

The structure in POSCAR format:
```
La6NdEr2
1.0
-9.2039 4.2180 -0.9257
1.6690 -9.3080 3.7332
0.3089 1.4214 3.4060
Nd La Er
1 6 2
Cartesian
0.0000 0.0000 0.0000
-3.2627 -5.6715 2.6628
-2.2999 -0.9472 2.6175
-4.2722 0.5816 0.1447
-4.9262 -2.7213 3.5960
-0.6593 -3.9129 1.6928
-6.8756 -1.1771 1.1147
-0.0984 -6.2065 4.6127
-7.1277 2.5380 1.6008
```

Calculated values
Offset from the most stable computed form = 60 meV/atom
Formation energy = 115 meV/atom
Total moment = 0.0000 μB/atom
Calculated density = 6.88 g/cm³

No. 22
Material: La2NdEr
Method: DFT, GGA-PBE
State: relaxed

The structure in POSCAR format:
```
La2NdEr
1.0
-1.1189 -5.5768 1.3620
2.6562 -2.4807 4.5824
-3.0624 -1.2761 4.8167
Er La Nd
1 2 1
Cartesian
0.0000 0.0000 0.0000
-0.3813 -2.3334 2.6903
-1.1439 -7.0003 8.0709
-0.7626 -4.6668 5.3806
```

Calculated values
Offset from the most stable computed form = 92 meV/atom
Formation energy = 105 meV/atom
Total moment = 0.0001 μB/atom
Calculated density = 6.92 g/cm³